No. 1
! PBE-GGA CeAlAu4, optimized geometry; values from VASP
&SYSTEM
  ibrav = 0, nat = 12, ntyp = 3
/
ATOMIC_SPECIES
Ce 140.12 Ce.upf
Au 196.97 Au.upf
Al 26.98 Al.upf
CELL_PARAMETERS angstrom
-4.310 4.121 -1.972
-6.119 -1.297 0.575
-2.315 3.733 6.297
ATOMIC_POSITIONS crystal
Ce 0.209 0.209 0.190
Ce 0.791 0.791 0.810
Au 0.789 0.789 0.205
Au 0.866 0.356 0.561
Au 0.356 0.866 0.561
Au 0.211 0.211 0.795
Au 0.260 0.740 0.000
Au 0.134 0.644 0.439
Au 0.644 0.134 0.439
Au 0.740 0.260 0.000
Al 0.558 0.558 0.248
Al 0.442 0.442 0.752
! - Energy above the most stable polymorph in this dataset: 0 meV/atom
! - DOS at the Fermi energy: 7.95 states/eV/f.u.
! - SG: C2/m
! - Size of the total moment: 0.153 μB/atom

No. 2
! PBE-GGA Tc2AsOs, optimized geometry; values from VASP
&SYSTEM
  ibrav = 0, nat = 4, ntyp = 3
/
ATOMIC_SPECIES
Tc 98.00 Tc.upf
Os 190.23 Os.upf
As 74.92 As.upf
CELL_PARAMETERS angstrom
-1.866 3.530 0.267
-2.289 -1.120 -1.190
-3.136 -1.962 4.022
ATOMIC_POSITIONS crystal
Tc 0.000 0.110 0.004
Tc 0.000 0.390 0.496
Os 0.500 0.750 0.750
As 0.500 0.250 0.250
! - DFT total energy: -9.0043 eV/atom
! - DOS at the Fermi energy: 3.82 states/eV/f.u.
! - SG: P2/m
! - Size of the total moment: 0.000 μB/atom

No. 3
! PBE-GGA GeBi2Sb2, optimized geometry; values from VASP
&SYSTEM
  ibrav = 0, nat = 5, ntyp = 3
/
ATOMIC_SPECIES
Sb 121.76 Sb.upf
Bi 208.98 Bi.upf
Ge 72.64 Ge.upf
CELL_PARAMETERS angstrom
4.202 0.000 0.000
0.000 4.202 0.000
2.101 2.101 8.688
ATOMIC_POSITIONS crystal
Sb 0.750 0.250 0.500
Sb 0.250 0.750 0.500
Bi 0.411 0.411 0.179
Bi 0.589 0.589 0.821
Ge 0.000 0.000 0.000
! - E_form (uncorrected): 0.3022 eV per atom
! - Energy above the most stable polymorph in this dataset: 24 meV/atom
! - DOS at the Fermi energy: 2.82 states/eV/f.u.
! - SG: I4/mmm
! - Size of the total moment: 0.000 μB/atom

No. 4
! PBE-GGA Sn3Mo15Se19, optimized geometry; values from VASP
&SYSTEM
  ibrav = 0, nat = 74, ntyp = 3
/
ATOMIC_SPECIES
Se 78.96 Se.upf
Mo 95.94 Mo.upf
Sn 118.71 Sn.upf
CELL_PARAMETERS angstrom
-8.546 4.718 2.049
0.364 -9.967 0.320
4.979 0.791 18.948
ATOMIC_POSITIONS crystal
Se 0.686 0.040 0.250
Se 0.010 0.632 0.641
Se 0.990 0.368 0.359
Se 0.051 0.364 0.750
Se 0.683 0.967 0.051
Se 0.387 0.011 0.133
Se 0.292 0.320 0.051
Se 0.332 0.670 0.531
Se 0.683 0.967 0.449
Se 0.949 0.636 0.250
Se 0.990 0.368 0.141
Se 0.332 0.670 0.969
Se 0.970 0.287 0.947
Se 0.292 0.320 0.449
Se 0.317 0.033 0.551
Se 0.371 0.380 0.858
Se 0.613 0.989 0.633
Se 0.629 0.620 0.142
Se 0.314 0.960 0.750
Se 0.648 0.689 0.750
Se 0.978 0.998 0.161
Se 0.978 0.998 0.339
Se 0.317 0.033 0.949
Se 0.022 0.002 0.661
Se 0.371 0.380 0.642
Se 0.613 0.989 0.867
Se 0.030 0.713 0.447
Se 0.668 0.330 0.469
Se 0.970 0.287 0.553
Se 0.708 0.680 0.551
Se 0.708 0.680 0.949
Se 0.668 0.330 0.031
Se 0.010 0.632 0.859
Se 0.022 0.002 0.839
Se 0.629 0.620 0.358
Se 0.387 0.011 0.367
Se 0.352 0.311 0.250
Se 0.030 0.713 0.053
Mo 0.014 0.850 0.944
Mo 0.315 0.815 0.865
Mo 0.150 0.165 0.943
Mo 0.508 0.317 0.365
Mo 0.150 0.165 0.557
Mo 0.508 0.317 0.135
Mo 0.014 0.850 0.556
Mo 0.844 0.989 0.557
Mo 0.811 0.492 0.365
Mo 0.986 0.150 0.444
Mo 0.986 0.150 0.056
Mo 0.811 0.492 0.135
Mo 0.850 0.835 0.057
Mo 0.511 0.163 0.250
Mo 0.189 0.508 0.635
Mo 0.492 0.683 0.635
Mo 0.156 0.011 0.057
Mo 0.650 0.480 0.250
Mo 0.844 0.989 0.943
Mo 0.685 0.185 0.365
Mo 0.828 0.339 0.250
Mo 0.489 0.837 0.750
Mo 0.350 0.520 0.750
Mo 0.172 0.661 0.750
Mo 0.850 0.835 0.443
Mo 0.189 0.508 0.865
Mo 0.315 0.815 0.635
Mo 0.685 0.185 0.135
Mo 0.492 0.683 0.865
Mo 0.156 0.011 0.443
Sn 0.677 0.405 0.606
Sn 0.677 0.405 0.894
Sn 0.174 0.959 0.250
Sn 0.323 0.595 0.394
Sn 0.323 0.595 0.106
Sn 0.826 0.041 0.750
! - E_form (uncorrected): -0.4851 eV per atom
! - DOS at the Fermi energy: 12.99 states/eV/f.u.
! - SG: P2_1/m
! - Size of the total moment: 0.000 μB/atom